[1]
! SCAN La3OsF, single point on PBEsol structure; values from VASP
&SYSTEM
  ibrav = 0, nat = 5, ntyp = 3
/
ATOMIC_SPECIES
La 138.91 La.upf
Os 190.23 Os.upf
F 19.00 F.upf
ATOMIC_POSITIONS crystal
La 0.5000 0.0000 0.0000
La 0.0000 0.0000 0.5000
La 0.0000 0.5000 0.0000
Os 0.0000 0.0000 0.0000
F 0.5000 0.5000 0.5000
CELL_PARAMETERS angstrom
5.5537 0.0000 0.0000
0.0000 5.5537 0.0000
0.0000 0.0000 5.5537
! SG	Pm-3m (221)
! raw formation energy	-0.510	eV per atom

---

[2]
! SCAN LaOs3F, single point on PBEsol structure; values from VASP
&SYSTEM
  ibrav = 0, nat = 5, ntyp = 3
/
ATOMIC_SPECIES
Os 190.23 Os.upf
La 138.91 La.upf
F 19.00 F.upf
ATOMIC_POSITIONS crystal
Os 0.0000 0.5000 0.0000
Os 0.5000 0.0000 0.0000
Os 0.0000 0.0000 0.5000
La 0.0000 0.0000 0.0000
F 0.5000 0.5000 0.5000
CELL_PARAMETERS angstrom
-0.6713 4.3170 2.1733
-4.0629 0.6844 -2.6144
-2.6178 -2.1692 3.5003
! SG	Pm-3m (221)
! raw formation energy	3.022	eV per atom

---

[3]
! SCAN LaSnOsF2, single point on PBEsol structure; values from VASP
&SYSTEM
  ibrav = 0, nat = 5, ntyp = 4
/
ATOMIC_SPECIES
F 19.00 F.upf
La 138.91 La.upf
Sn 118.71 Sn.upf
Os 190.23 Os.upf
ATOMIC_POSITIONS crystal
F 0.0000 0.5000 0.0000
F 0.5000 0.0000 0.0000
La 0.5000 0.5000 0.5000
Sn 0.0000 0.0000 0.0000
Os 0.0000 0.0000 0.5000
CELL_PARAMETERS angstrom
-4.2312 0.0861 0.6098
-0.6158 -0.6733 -4.1773
0.0149 -5.2508 0.8441
! SG	P4/mmm (123)
! raw formation energy	-1.179	eV per atom

---

[4]
! SCAN La2PbF2, single point on PBEsol structure; values from VASP
&SYSTEM
  ibrav = 0, nat = 5, ntyp = 3
/
ATOMIC_SPECIES
La 138.91 La.upf
Pb 207.20 Pb.upf
F 19.00 F.upf
ATOMIC_POSITIONS crystal
La 0.3639 0.3639 0.7278
La 0.6361 0.6361 0.2722
Pb 0.0000 0.0000 0.0000
F 0.7500 0.2500 0.5000
F 0.2500 0.7500 0.5000
CELL_PARAMETERS angstrom
-2.5568 -2.0560 2.3122
2.4096 0.5584 3.1611
-3.2190 6.5198 -1.2461
! SG	I4/mmm (139)
! raw formation energy	-2.758	eV per atom

---

[5]
! SCAN LaPb3F, single point on PBEsol structure; values from VASP
&SYSTEM
  ibrav = 0, nat = 5, ntyp = 3
/
ATOMIC_SPECIES
Pb 207.20 Pb.upf
F 19.00 F.upf
La 138.91 La.upf
ATOMIC_POSITIONS crystal
Pb 0.5000 0.0000 0.0000
Pb 0.0000 0.5000 0.0000
Pb 0.0000 0.0000 0.5000
F 0.0000 0.0000 0.0000
La 0.5000 0.5000 0.5000
CELL_PARAMETERS angstrom
5.0502 0.0000 0.0000
0.0000 5.0502 0.0000
0.0000 0.0000 5.0502
! SG	Pm-3m (221)
! raw formation energy	-0.970	eV per atom

---

[6]
! SCAN LaTcPbF2, single point on PBEsol structure; values from VASP
&SYSTEM
  ibrav = 0, nat = 5, ntyp = 4
/
ATOMIC_SPECIES
La 138.91 La.upf
F 19.00 F.upf
Pb 207.20 Pb.upf
Tc 98.00 Tc.upf
ATOMIC_POSITIONS crystal
La 0.5000 0.5000 0.5000
F 0.0000 0.5000 0.0000
F 0.5000 0.0000 0.0000
Pb 0.0000 0.0000 0.5000
Tc 0.0000 0.0000 0.0000
CELL_PARAMETERS angstrom
-3.3837 1.4510 -2.4176
-2.3279 -3.5684 1.1164
-1.9862 2.6661 4.3802
! SG	P4/mmm (123)
! raw formation energy	-1.027	eV per atom

---

[7]
! SCAN La2TiPdF, single point on PBEsol structure; values from VASP
&SYSTEM
  ibrav = 0, nat = 5, ntyp = 4
/
ATOMIC_SPECIES
F 19.00 F.upf
Pd 106.42 Pd.upf
Ti 47.87 Ti.upf
La 138.91 La.upf
ATOMIC_POSITIONS crystal
F 0.0000 0.0000 0.0000
Pd 0.0000 0.0000 0.5000
Ti 0.5000 0.5000 0.5000
La 0.5000 0.0000 0.0000
La 0.0000 0.5000 0.0000
CELL_PARAMETERS angstrom
4.7579 0.0000 0.0000
0.0000 4.7579 0.0000
0.0000 0.0000 4.9313
! SG	P4/mmm (123)
! raw formation energy	-0.810	eV per atom

---

[8]
! SCAN Rb2LaF5, single point on PBEsol structure; values from VASP
&SYSTEM
  ibrav = 0, nat = 32, ntyp = 3
/
ATOMIC_SPECIES
Rb 85.47 Rb.upf
F 19.00 F.upf
La 138.91 La.upf
ATOMIC_POSITIONS crystal
Rb 0.9682 0.0214 0.6708
Rb 0.0319 0.0155 0.3292
Rb 0.9681 0.5155 0.6708
Rb 0.4681 0.0155 0.8292
Rb 0.0318 0.5214 0.3292
Rb 0.5318 0.0214 0.1708
Rb 0.4682 0.5214 0.8292
Rb 0.5319 0.5155 0.1708
F 0.8553 0.0498 0.9201
F 0.8969 0.7685 0.4883
F 0.6635 0.7686 0.6946
F 0.1366 0.7680 0.8318
F 0.3548 0.9869 0.5796
F 0.6452 0.4869 0.4204
F 0.6366 0.2680 0.6682
F 0.8548 0.4869 0.9204
F 0.3553 0.5498 0.5799
F 0.1635 0.2686 0.8054
F 0.6447 0.0498 0.4201
F 0.8634 0.2680 0.1682
F 0.3634 0.7680 0.3318
F 0.1031 0.2685 0.5117
F 0.3365 0.2686 0.3054
F 0.3969 0.2685 0.0117
F 0.8365 0.7686 0.1946
F 0.1447 0.5498 0.0799
F 0.6031 0.7685 0.9883
F 0.1452 0.9869 0.0796
La 0.0627 0.2684 0.0027
La 0.9373 0.7684 0.9973
La 0.4373 0.2684 0.5027
La 0.5627 0.7684 0.4973
CELL_PARAMETERS angstrom
-1.4948 6.6751 0.7442
-1.1785 0.5879 -7.6394
-10.8782 -2.6007 1.4780
! SG	Pnma (62)
! raw formation energy	-3.690	eV per atom

---

[9]
! SCAN RbLaF2, single point on PBEsol structure; values from VASP
&SYSTEM
  ibrav = 0, nat = 4, ntyp = 3
/
ATOMIC_SPECIES
La 138.91 La.upf
F 19.00 F.upf
Rb 85.47 Rb.upf
ATOMIC_POSITIONS crystal
La 0.0000 0.0000 0.0000
F 0.8998 0.8998 0.3006
F 0.1002 0.1002 0.6994
Rb 0.5000 0.5000 0.5000
CELL_PARAMETERS angstrom
-1.4974 3.6349 1.0287
-3.9451 0.8024 -0.5519
-3.2962 -1.0776 7.0360
! SG	R-3m (166)
! raw formation energy	-2.771	eV per atom

---

[10]
! SCAN Rb3LaF, single point on PBEsol structure; values from VASP
&SYSTEM
  ibrav = 0, nat = 5, ntyp = 3
/
ATOMIC_SPECIES
Rb 85.47 Rb.upf
F 19.00 F.upf
La 138.91 La.upf
ATOMIC_POSITIONS crystal
Rb 0.5000 0.0000 0.0000
Rb 0.0000 0.0000 0.5000
Rb 0.0000 0.5000 0.0000
F 0.5000 0.5000 0.5000
La 0.0000 0.0000 0.0000
CELL_PARAMETERS angstrom
-4.9753 -5.1586 1.0417
3.5366 -2.2157 5.9189
-3.8973 4.5749 4.0412
! SG	Pm-3m (221)
! raw formation energy	0.242	eV per atom

---

[11]
! SCAN Rb2LaTcF, single point on PBEsol structure; values from VASP
&SYSTEM
  ibrav = 0, nat = 5, ntyp = 4
/
ATOMIC_SPECIES
Rb 85.47 Rb.upf
Tc 98.00 Tc.upf
F 19.00 F.upf
La 138.91 La.upf
ATOMIC_POSITIONS crystal
Rb 0.0000 0.5000 0.0000
Rb 0.0000 0.0000 0.5000
Tc 0.0000 0.0000 0.0000
F 0.5000 0.0000 0.0000
La 0.5000 0.5000 0.5000
CELL_PARAMETERS angstrom
3.9728 0.0000 0.0000
0.0000 7.2680 0.0000
0.0000 0.0000 7.2680
! SG	P4/mmm (123)
! raw formation energy	0.421	eV per atom

---

[12]
! SCAN LaRh3F, single point on PBEsol structure; values from VASP
&SYSTEM
  ibrav = 0, nat = 5, ntyp = 3
/
ATOMIC_SPECIES
La 138.91 La.upf
Rh 102.91 Rh.upf
F 19.00 F.upf
ATOMIC_POSITIONS crystal
La 0.0000 0.0000 0.0000
Rh 0.5000 0.0000 0.0000
Rh 0.0000 0.0000 0.5000
Rh 0.0000 0.5000 0.0000
F 0.5000 0.5000 0.5000
CELL_PARAMETERS angstrom
-2.1941 1.1585 4.0834
-4.2106 -1.1749 -1.9291
0.5363 -4.4842 1.5604
! SG	Pm-3m (221)
! raw formation energy	1.056	eV per atom